An optimized crystal structure of AlPWO2, computed with PBE+U.

Properties
* ΔE to the lowest computed polymorph: 4.17 kcal/mol of atoms
* calculated total energy: -29.8 eV per cell

Cell: 3.552 3.552 6.019 Å, 90.00 90.00 90.00°
Space group P4/mmm (No. 123)
Asymmetric unit:
Al1 0.000 0.000 0.000 x1
P1 0.000 0.000 0.500 x1
W1 0.500 0.500 0.500 x1
O1 0.000 0.500 0.000 x2